A relaxed CoGe3Au crystal, computed with PBE.

a = 4.5542 Å, b = 4.5542 Å, c = 4.5542 Å
α = 90.00°, β = 90.00°, γ = 90.00°
With the nearest neighbours (Å) after each atom.
Element x y z (fractional)
Ge1 0.0000 0.0000 0.5000  2 Co 2.28
Ge2 0.5000 0.0000 0.0000  2 Co 2.28
Ge3 0.0000 0.5000 0.0000  2 Co 2.28
Au1 0.5000 0.5000 0.5000  12 Ge 3.22
Co1 0.0000 0.0000 0.0000  6 Ge 2.28

Computed properties:
SG: No. 221
Crystal system: cubic
M_tot in μB/cell: 0.75
ρ in Mg/m³: 8.3
V in Å³ per atom: 18.89
Fermi-level density of states in states/eV/f.u.: 3.597
Energy of formation in eV per atom: 0.19